Entry 1:
First-principles (GGA-PBE) data for crystalline Ca2MgMnCd at its relaxed geometry, as listed in Alexandria.

**Space group**: No. 123
**E_form**: 0.449 eV/atom
**Calculated volume**: 34.94 A^3/atom

Geometry as extended XYZ:
```
5
Lattice="5.873 0.000 0.000 0.000 5.873 0.000 0.000 0.000 5.066" Properties=species:S:1:pos:R:3 pbc="T T T"
Ca 0.000 2.936 0.000
Ca 2.936 0.000 0.000
Mg 0.000 0.000 2.533
Mn 2.936 2.936 2.533
Cd 2.936 2.936 0.000
```



Entry 2:
First-principles (GGA-PBE) data for crystalline BeSb2Te at its relaxed geometry, as listed in Alexandria.

**Space group**: No. 65
**E_form (uncorrected)**: 0.307 eV per atom
**Distance to the lowest polymorph of the same formula**: 218 meV/atom
**Calculated volume**: 24.65 A^3/atom

Geometry as extended XYZ:
```
4
Lattice="2.017 -2.640 0.000 2.017 2.640 0.000 0.000 0.000 9.256" Properties=species:S:1:pos:R:3 pbc="T T T"
Be 0.000 0.000 0.000
Sb 2.017 0.000 1.566
Sb 2.017 0.000 7.690
Te 0.000 0.000 4.628
```



Entry 3:
First-principles (GGA-PBE) data for crystalline InGaHg at its relaxed geometry, as listed in Alexandria.

**Space group**: No. 156
**E_form**: 0.063 eV/atom
**Calculated volume**: 24.75 A^3/atom

Geometry as extended XYZ:
```
3
Lattice="3.773 0.000 0.000 -1.887 3.268 0.000 0.000 0.000 6.021" Properties=species:S:1:pos:R:3 pbc="T T T"
In 0.000 0.000 0.000
Ga 1.887 1.089 2.041
Hg 0.000 2.179 3.869
```



Entry 4:
First-principles (GGA-PBE) data for crystalline LiAcMgSc at its relaxed geometry, as listed in Alexandria.

**Space group**: No. 216
**E_form**: 0.107 eV/atom
**Calculated volume**: 28.50 A^3/atom

Geometry as extended XYZ:
```
4
Lattice="0.000 3.849 3.849 3.849 0.000 3.849 3.849 3.849 0.000" Properties=species:S:1:pos:R:3 pbc="T T T"
Li 0.000 0.000 0.000
Ac 1.924 1.924 1.924
Mg 3.849 3.849 3.849
Sc 5.773 5.773 5.773
```



Entry 5:
First-principles (GGA-PBE) data for crystalline BiPS4Br at its relaxed geometry, as listed in Alexandria.

**Space group**: No. 12
**E_form (uncorrected)**: -0.150 eV per atom
**Calculated volume**: 37.78 A^3/atom

Geometry as extended XYZ:
```
14
Lattice="5.216 -5.515 0.000 5.216 5.515 0.000 -2.070 0.000 9.192" Properties=species:S:1:pos:R:3 pbc="T T T"
Bi 1.259 0.000 4.494
Bi 7.104 0.000 4.698
P 3.528 0.000 2.102
P 4.835 0.000 7.090
S 2.734 1.656 3.101
S 3.089 0.000 0.162
S 2.814 0.000 7.102
S 2.734 -1.656 3.101
S 5.629 1.656 6.091
S 5.548 0.000 2.090
S 5.274 0.000 9.030
S 5.629 -1.656 6.091
Br -1.271 0.000 6.536
Br 9.634 0.000 2.656
```



Entry 6:
First-principles (GGA-PBE) data for crystalline MgTi2S4 at its relaxed geometry, as listed in Alexandria.

**Space group**: No. 63
**E_form (uncorrected)**: -1.303 eV per atom
**Calculated volume**: 17.48 A^3/atom

Geometry as extended XYZ:
```
14
Lattice="1.732 -5.718 0.000 1.732 5.718 0.000 0.000 0.000 12.354" Properties=species:S:1:pos:R:3 pbc="T T T"
Mg 1.732 4.397 9.265
Mg 1.732 -4.397 3.088
Ti 1.732 1.480 6.963
Ti 1.732 1.480 11.568
Ti 1.732 -1.480 0.786
Ti 1.732 -1.480 5.391
S 0.000 0.000 0.000
S 0.000 0.000 6.177
S 1.732 2.575 1.446
S 1.732 2.575 4.731
S 1.732 0.506 9.265
S 1.732 -0.506 3.088
S 1.732 -2.575 7.623
S 1.732 -2.575 10.908
```



Entry 7:
First-principles (GGA-PBE) data for crystalline UP6Ru12 at its relaxed geometry, as listed in Alexandria.

**Space group**: No. 166
**E_form**: -0.394 eV/atom
**Calculated volume**: 14.79 A^3/atom

Geometry as extended XYZ:
```
19
Lattice="5.435 3.138 2.747 -5.435 3.138 2.747 0.000 -6.276 2.747" Properties=species:S:1:pos:R:3 pbc="T T T"
U 0.000 0.000 0.000
P 0.000 -2.752 3.157
P -2.383 1.376 3.157
P -2.383 -1.376 5.083
P 2.383 1.376 3.157
P 2.383 -1.376 5.083
P 0.000 2.752 5.083
Ru -1.982 -3.433 4.120
Ru -3.964 0.000 4.120
Ru -1.378 -0.796 2.945
Ru 1.378 -0.796 2.945
Ru 0.000 1.592 2.945
Ru 1.982 -3.433 4.120
Ru -1.982 3.433 4.120
Ru 0.000 -1.592 5.294
Ru -1.378 0.796 5.294
Ru 1.378 0.796 5.294
Ru 3.964 0.000 4.120
Ru 1.982 3.433 4.120
```



Entry 8:
First-principles (GGA-PBE) data for crystalline SrCa2NdSe4 at its relaxed geometry, as listed in Alexandria.

**Space group**: No. 10
**E_form (uncorrected)**: -1.957 eV per atom
**Calculated volume**: 27.52 A^3/atom

Geometry as extended XYZ:
```
8
Lattice="7.390 0.000 0.000 0.000 4.256 0.000 -2.457 0.000 7.000" Properties=species:S:1:pos:R:3 pbc="T T T"
Sr 0.000 0.000 0.000
Ca 2.466 0.000 3.500
Ca 3.695 2.128 0.000
Nd -1.229 2.128 3.500
Se 0.059 0.000 5.234
Se 1.280 2.128 1.814
Se 3.652 2.128 5.187
Se 4.873 0.000 1.767
```



Entry 9:
First-principles (GGA-PBE) data for crystalline La3BP at its relaxed geometry, as listed in Alexandria.

**Space group**: No. 221
**E_form**: -0.230 eV/atom
**Distance to the lowest polymorph of the same formula**: 0 meV/atom
**Calculated volume**: 27.67 A^3/atom

Geometry as extended XYZ:
```
5
Lattice="5.172 0.000 0.000 0.000 5.172 0.000 0.000 0.000 5.172" Properties=species:S:1:pos:R:3 pbc="T T T"
La 0.000 0.000 2.586
La 0.000 2.586 0.000
La 2.586 0.000 0.000
B 0.000 0.000 0.000
P 2.586 2.586 2.586
```



Entry 10:
First-principles (GGA-PBE) data for crystalline Na3TaTi3Se8 at its relaxed geometry, as listed in Alexandria.

**Space group**: No. 166
**E_form (uncorrected)**: -1.092 eV per atom
**Calculated volume**: 22.33 A^3/atom

Geometry as extended XYZ:
```
15
Lattice="3.652 2.108 7.251 -3.652 2.108 7.251 0.000 -4.217 7.251" Properties=species:S:1:pos:R:3 pbc="T T T"
Na -1.826 -1.054 7.251
Na -1.826 1.054 14.503
Na 0.000 2.108 7.251
Ta 0.000 0.000 10.877
Ti -3.652 0.000 10.877
Ti -1.826 1.054 3.626
Ti 1.826 1.054 3.626
Se -1.848 -1.067 12.428
Se 0.000 0.000 5.169
Se 0.000 -2.134 9.327
Se -1.848 1.067 9.327
Se 1.848 -1.067 12.428
Se 0.000 2.134 12.428
Se 0.000 0.000 16.585
Se 1.848 1.067 9.327
```



Entry 11:
First-principles (GGA-PBE) data for crystalline Cd2SbBr at its relaxed geometry, as listed in Alexandria.

**Space group**: No. 6
**E_form (uncorrected)**: -0.246 eV per atom
**Distance to the lowest polymorph of the same formula**: 79 meV/atom
**Calculated volume**: 27.71 A^3/atom

Geometry as extended XYZ:
```
4
Lattice="4.310 0.000 0.000 0.000 5.960 0.000 0.000 0.000 4.314" Properties=species:S:1:pos:R:3 pbc="T T T"
Cd 0.000 0.000 0.000
Cd 2.104 2.980 2.149
Sb 2.152 0.000 2.157
Br 4.269 2.980 4.308
```



Entry 12:
First-principles (GGA-PBE) data for crystalline LaY14Tl at its relaxed geometry, as listed in Alexandria.

**Space group**: No. 38
**E_form**: -0.009 eV/atom
**Calculated volume**: 32.12 A^3/atom

Geometry as extended XYZ:
```
16
Lattice="10.940 0.000 0.000 0.000 4.232 5.551 0.000 -4.232 5.551" Properties=species:S:1:pos:R:3 pbc="T T T"
La 0.000 0.000 0.000
Y 0.000 -1.746 2.970
Y 0.000 1.746 2.970
Y 2.422 0.000 8.472
Y 2.675 -1.756 5.347
Y 2.675 1.756 5.347
Y 3.016 0.000 2.250
Y 5.470 0.000 4.701
Y 5.470 -1.697 7.808
Y 5.470 1.697 7.808
Y 5.470 0.000 10.810
Y 7.924 0.000 2.250
Y 8.265 -1.756 5.347
Y 8.265 1.756 5.347
Y 8.519 0.000 8.472
Tl 0.000 0.000 6.082
```



Number 11 is which compound? Cd2SbBr